(1)
DFT (PBE) results for a relaxed structure of TiV4Pt.

Lattice parameters (Å, degrees): 7.000 7.000 7.000 90.00 90.00 90.00
Space group F-43m (No. 216)
Unique sites:
Ti  0.000  0.000  0.000 (multiplicity 4)
V  0.127  0.127  0.627 (multiplicity 16)
Pt  0.250  0.250  0.250 (multiplicity 4)

Results
**Crystal system**: cubic
**Energy of formation from the pure elements**: -0.183 eV/atom

(2)
DFT (PBE) results for a relaxed structure of Tb2NdH.

Lattice parameters (Å, degrees): 3.5197 3.5197 28.7297 90.00 90.00 120.00
Space group R-3m (No. 166, hexagonal axes)
Unique sites:
Tb  0.0000  0.0000  0.1202 (multiplicity 6)
Nd  0.0000  0.0000  0.0000 (multiplicity 3)
H  0.0000  0.0000  0.5000 (multiplicity 3)

Results
**Polymorph energy (0 for the lowest one)**: 0 meV per atom
**Crystal system**: trigonal

(3)
DFT (PBE) results for a relaxed structure of Er6Al2Cd.

Lattice parameters (Å, degrees): 15.909 7.156 5.004 90.00 108.26 90.00
Space group C2/m (No. 12)
Unique sites:
Er  0.000  0.246  0.000 (multiplicity 4)
Er  0.168  0.249  0.669 (multiplicity 8)
Al  0.167  0.000  0.167 (multiplicity 4)
Cd  0.000  0.500  0.500 (multiplicity 2)

Results
**Crystal system**: monoclinic
**Energy of formation from the pure elements**: 0.021 eV/atom

(4)
DFT (PBE) results for a relaxed structure of BeSb3Br.

Lattice parameters (Å, degrees): 5.013 5.013 5.013 90.00 90.00 90.00
Space group Pm-3m (No. 221)
Unique sites:
Be  0.000  0.000  0.000 (multiplicity 1)
Sb  0.000  0.000  0.500 (multiplicity 3)
Br  0.500  0.500  0.500 (multiplicity 1)

Results
**Polymorph energy (0 for the lowest one)**: 0 meV per atom
**E_form (uncorrected)**: 0.419 eV per atom
**Crystal system**: cubic

(5)
DFT (PBE) results for a relaxed structure of Nd3TmFe.

Lattice parameters (Å, degrees): 5.378 5.378 5.378 90.00 90.00 90.00
Space group Pm-3m (No. 221)
Unique sites:
Nd  0.000  0.000  0.500 (multiplicity 3)
Tm  0.500  0.500  0.500 (multiplicity 1)
Fe  0.000  0.000  0.000 (multiplicity 1)

Results
**Crystal system**: cubic
**Energy of formation from the pure elements**: 0.219 eV/atom

(6)
DFT (PBE) results for a relaxed structure of TlSbBr2.

Lattice parameters (Å, degrees): 7.696 7.696 7.696 90.00 90.00 90.00
Space group F-43m (No. 216)
Unique sites:
Tl  0.000  0.000  0.000 (multiplicity 4)
Sb  0.250  0.250  0.750 (multiplicity 4)
Br  0.000  0.000  0.500 (multiplicity 4)
Br  0.250  0.250  0.250 (multiplicity 4)

Results
**E_form (uncorrected)**: 0.054 eV per atom
**Crystal system**: cubic

no.,density of states at the Fermi level (states/eV/cell)
1,27.7
2,11.0
3,24.8
4,3.2
5,8.2
6,20.7